DFT (PBE) results for a relaxed La2Pm2Sm5 crystal.

Summary:
The formation energy is 0.404 eV per formula unit. The energy relative to the lowest polymorph listed for this composition comes out at 0 meV per atom.

The structure in POSCAR format:
```
La2Pm2Sm5
1.0
-1.368 0.743 3.275
0.154 -9.678 2.260
9.472 -1.896 0.373
La Pm Sm
2 2 5
Direct
0.477 0.681 0.978
0.523 0.319 0.022
0.661 0.887 0.662
0.339 0.113 0.338
0.850 0.783 0.349
0.150 0.217 0.651
0.680 0.537 0.679
0.320 0.463 0.321
0.000 0.000 0.000
```

***

DFT (PBE) results for a relaxed ThScCSe crystal.

Summary:
The energy relative to the elements, uncorrected is -1.05 eV per atom.

The structure in POSCAR format:
```
ThScCSe
1.0
3.674 0.000 0.000
-1.836 3.182 0.000
-1.836 -1.060 6.712
Th Sc C Se
1 1 1 1
Direct
0.506 0.151 0.672
0.105 0.951 0.071
0.316 0.556 0.887
0.950 0.373 0.339
```

***

DFT (PBE) results for a relaxed PmPrGeI crystal.

Summary:
The energy relative to the elements, uncorrected is -1.01 eV per atom.

The structure in POSCAR format:
```
PmPrGeI
1.0
4.313 -0.001 -0.001
-2.156 3.736 0.000
-2.156 -1.245 7.887
Pm Pr Ge I
1 1 1 1
Direct
0.504 0.150 0.669
0.102 0.949 0.066
0.303 0.549 0.867
0.970 0.383 0.367
```

***

DFT (PBE) results for a relaxed K2TlICl4 crystal.

Summary:
The energy relative to the elements, uncorrected is -1.23 eV per atom.

The structure in POSCAR format:
```
K2TlICl4
1.0
9.391 -0.930 0.086
-0.937 9.390 0.086
-4.080 -4.083 6.781
K Tl I Cl
4 2 2 8
Direct
0.500 0.000 0.000
0.500 0.000 0.500
0.000 0.000 0.500
0.500 0.500 0.000
0.000 0.500 0.000
0.000 0.500 0.500
0.500 0.500 0.500
0.000 0.000 0.000
0.285 0.702 0.981
0.798 0.215 0.519
0.202 0.785 0.481
0.715 0.298 0.019
0.789 0.839 0.055
0.661 0.711 0.445
0.339 0.289 0.555
0.211 0.161 0.945
```

***

DFT (PBE) results for a relaxed Ac2HgRh crystal.

Summary:
The formation energy is -2.404 eV per formula unit. The energy relative to the lowest polymorph listed for this composition comes out at 9 meV per atom.

The structure in POSCAR format:
```
Ac2HgRh
1.0
-3.715 -2.116 -0.867
-0.196 -2.776 -3.359
0.997 -7.652 3.435
Ac Hg Rh
2 1 1
Direct
0.068 0.068 0.797
0.266 0.266 0.201
0.500 0.500 0.500
0.666 0.666 0.002
```

***

DFT (PBE) results for a relaxed AcYThMg crystal.

Summary:
The formation energy is 0.864 eV per formula unit.

The structure in POSCAR format:
```
AcYThMg
1.0
5.716 0.000 0.000
2.858 4.950 0.000
2.858 1.650 4.667
Y Ac Mg Th
1 1 1 1
Direct
0.250 0.250 0.250
0.500 0.500 0.500
0.000 0.000 0.000
0.750 0.750 0.750
```

***

DFT (PBE) results for a relaxed H2RhO crystal.

Summary:
The energy relative to the lowest polymorph listed for this composition comes out at 282 meV per atom.

The structure in POSCAR format:
```
H2RhO
1.0
2.507 0.000 0.000
1.254 2.171 0.000
1.254 0.724 7.783
H Rh O
2 1 1
Direct
0.154 0.154 0.537
0.846 0.846 0.463
0.000 0.000 0.000
0.500 0.500 0.500
```

***

DFT (PBE) results for a relaxed BeRe2Pb crystal.

Summary:
The formation energy is 3.175 eV per formula unit. The energy relative to the lowest polymorph listed for this composition comes out at 468 meV per atom.

The structure in POSCAR format:
```
BeRe2Pb
1.0
2.862 -0.004 0.000
-1.201 2.598 0.000
0.000 0.000 9.335
Pb Re Be
1 2 1
Direct
0.500 0.500 0.746
0.000 0.000 0.039
0.500 0.500 0.263
0.000 0.000 0.453
```

***

DFT (PBE) results for a relaxed Pr3Te6Pb crystal.

Summary:
The energy relative to the elements, uncorrected is -1.10 eV per atom.

The structure in POSCAR format:
```
Pr3Te6Pb
1.0
-6.777 -2.617 -2.770
4.816 -5.015 -7.046
-0.554 -6.471 7.471
Pr Te Pb
6 12 2
Direct
0.482 0.913 0.720
0.982 0.720 0.913
0.376 0.408 0.592
0.876 0.592 0.408
0.982 0.087 0.280
0.482 0.280 0.087
0.176 0.701 0.626
0.676 0.626 0.701
0.233 0.455 0.912
0.733 0.912 0.455
0.202 0.022 0.978
0.611 0.228 0.772
0.111 0.772 0.228
0.702 0.978 0.022
0.233 0.088 0.545
0.733 0.545 0.088
0.176 0.374 0.299
0.676 0.299 0.374
0.015 0.198 0.802
0.515 0.802 0.198
```

***

DFT (PBE) results for a relaxed SiGeSe3 crystal.

Summary:
The energy relative to the elements, uncorrected is 0.31 eV per atom.

The structure in POSCAR format:
```
SiGeSe3
1.0
-1.805 1.780 4.135
-4.298 -2.007 -1.012
1.340 -4.040 2.324
Ge Si Se
1 1 3
Direct
0.500 0.500 0.500
0.000 0.000 0.000
0.000 0.500 0.000
0.000 0.000 0.500
0.500 0.000 0.000
```

***

DFT (PBE) results for a relaxed K3Rb5H8 crystal.

Summary:
The uncorrected energy comes out at -2.368 eV/atom.

The structure in POSCAR format:
```
K3Rb5H8
1.0
7.184 0.000 4.115
2.413 6.767 4.115
0.018 0.013 8.296
K Rb H
3 5 8
Direct
0.500 0.000 0.500
0.000 0.000 0.500
0.000 0.500 0.500
0.500 0.000 0.000
0.500 0.500 0.000
0.000 0.000 0.000
0.000 0.500 0.000
0.500 0.500 0.500
0.250 0.250 0.742
0.250 0.758 0.742
0.758 0.250 0.742
0.754 0.754 0.738
0.750 0.750 0.258
0.750 0.242 0.258
0.242 0.750 0.258
0.246 0.246 0.262
```

***

DFT (PBE) results for a relaxed TaMo crystal.

Summary:
The formation energy is -0.382 eV per formula unit.

The structure in POSCAR format:
```
TaMo
1.0
-1.062 -4.319 0.905
2.159 -1.520 -4.722
5.251 -0.948 1.636
Mo Ta
4 4
Direct
0.000 0.989 0.003
0.500 0.761 0.872
0.500 0.245 0.628
0.000 0.505 0.247
0.000 0.494 0.751
0.000 0.012 0.498
0.500 0.738 0.377
0.500 0.256 0.124
```